1.
The following is a PBE-GGA calculation of a relaxed Dy2PSe crystal, from the Open Quantum Materials Database.

Unit cell a=4.0236 b=5.6932 c=8.1632 alpha=90.00 beta=90.00 gamma=90.00
Fractional coordinates of all 8 atoms:
Dy 0.2500 0.2500 0.1108
Dy 0.2500 0.2500 0.6474
Dy 0.7500 0.7500 0.3526
Dy 0.7500 0.7500 0.8892
P 0.2500 0.7500 0.1245
P 0.7500 0.2500 0.8755
Se 0.2500 0.7500 0.6202
Se 0.7500 0.2500 0.3798


2.
The following is a PBE-GGA calculation of a relaxed TaCoAgAs crystal, from the Open Quantum Materials Database.

Output
Offset from the most stable computed form ... 0.000 eV/atom

Unit cell a=4.4321 b=4.4321 c=4.4321 alpha=60.00 beta=60.00 gamma=60.00
Fractional coordinates of all 4 atoms:
Ta 0.0000 0.0000 0.0000
Co 0.5000 0.5000 0.5000
Ag 0.7500 0.7500 0.7500
As 0.2500 0.2500 0.2500


3.
The following is a PBE-GGA calculation of a relaxed NaTaPb crystal, from the Open Quantum Materials Database.

Output
Offset from the most stable computed form ... 0.000 eV/atom

Unit cell a=4.8595 b=4.8595 c=4.8595 alpha=60.00 beta=60.00 gamma=60.00
Fractional coordinates of all 3 atoms:
Na 0.0000 0.0000 0.0000
Ta 0.2500 0.2500 0.2500
Pb 0.5000 0.5000 0.5000


4.
The following is a PBE-GGA calculation of a relaxed B2MoAu crystal, from the Open Quantum Materials Database.

Unit cell a=4.1568 b=4.1568 c=4.1568 alpha=60.00 beta=60.00 gamma=60.00
Fractional coordinates of all 4 atoms:
B 0.0000 0.0000 0.0000
B 0.2500 0.2500 0.2500
Mo 0.7500 0.7500 0.7500
Au 0.5000 0.5000 0.5000


5.
The following is a PBE-GGA calculation of a relaxed LuTeNO crystal, from the Open Quantum Materials Database.

Output
Offset from the most stable computed form ... 0.000 eV/atom

Unit cell a=3.7284 b=6.6618 c=6.2304 alpha=90.00 beta=90.00 gamma=90.00
Fractional coordinates of all 8 atoms:
Lu 0.0000 0.1673 0.0000
Lu 0.0000 0.8327 0.5000
Te 0.5000 0.3280 0.6022
Te 0.5000 0.6720 0.1022
N 0.5000 0.3451 0.9300
N 0.5000 0.6549 0.4300
O 0.0000 0.0841 0.3128
O 0.0000 0.9159 0.8128


6.
The following is a PBE-GGA calculation of a relaxed Tb2GdAl3AgPd2 crystal, from the Open Quantum Materials Database.

Unit cell a=3.9161 b=7.3994 c=7.3994 alpha=120.03 beta=90.00 gamma=90.00
Fractional coordinates of all 9 atoms:
Tb 0.0000 0.2082 0.7918
Tb 0.0000 0.7918 0.2082
Gd 0.0000 0.3756 0.3756
Al 0.5000 0.0443 0.0443
Al 0.5000 0.5394 0.7926
Al 0.5000 0.7926 0.5394
Ag 0.0000 0.7926 0.7926
Pd 0.5000 0.1244 0.4591
Pd 0.5000 0.4591 0.1244


7.
The following is a PBE-GGA calculation of a relaxed HfCoSbAu crystal, from the Open Quantum Materials Database.

Output
Offset from the most stable computed form ... 0.009 eV/atom

Unit cell a=4.6755 b=4.6755 c=4.6755 alpha=60.00 beta=60.00 gamma=60.00
Fractional coordinates of all 4 atoms:
Hf 0.0000 0.0000 0.0000
Co 0.7500 0.7500 0.7500
Sb 0.5000 0.5000 0.5000
Au 0.2500 0.2500 0.2500


8.
The following is a PBE-GGA calculation of a relaxed SmFe2 crystal, from the Open Quantum Materials Database.

Output
Formation enthalpy at 0 K ... 1163 meV/atom

Unit cell a=4.9849 b=4.9849 c=5.4175 alpha=90.00 beta=90.00 gamma=90.00
Fractional coordinates of all 6 atoms:
Sm 0.0000 0.0000 0.0000
Sm 0.5000 0.5000 0.5000
Fe 0.1453 0.1453 0.5000
Fe 0.3547 0.6453 0.0000
Fe 0.6453 0.3547 0.0000
Fe 0.8547 0.8547 0.5000


9.
The following is a PBE-GGA calculation of a relaxed PrZrAl2Ni4 crystal, from the Open Quantum Materials Database.

Unit cell a=4.1667 b=4.1667 c=8.6990 alpha=90.00 beta=90.00 gamma=120.00
Fractional coordinates of all 8 atoms:
Pr 0.0000 0.0000 0.0000
Zr 0.6667 0.3333 0.5000
Al 0.3333 0.6667 0.2748
Al 0.3333 0.6667 0.7252
Ni 0.0000 0.0000 0.3429
Ni 0.0000 0.0000 0.6571
Ni 0.6667 0.3333 0.2027
Ni 0.6667 0.3333 0.7973


10.
The following is a PBE-GGA calculation of a relaxed CuGe2 crystal, from the Open Quantum Materials Database.

Unit cell a=7.3170 b=7.3170 c=7.3170 alpha=60.00 beta=60.00 gamma=60.00
Fractional coordinates of all 6 atoms:
Cu 0.1250 0.1250 0.1250
Cu 0.8750 0.8750 0.8750
Ge 0.0000 0.0000 0.0000
Ge 0.0000 0.0000 0.5000
Ge 0.0000 0.5000 0.0000
Ge 0.5000 0.0000 0.0000


11.
The following is a PBE-GGA calculation of a relaxed In2AsPt8 crystal, from the Open Quantum Materials Database.

Unit cell a=4.0321 b=4.0321 c=11.2571 alpha=90.00 beta=90.00 gamma=90.00
Fractional coordinates of all 11 atoms:
In 0.0000 0.0000 0.1803
In 0.0000 0.0000 0.8197
As 0.5000 0.5000 0.5000
Pt 0.0000 0.5000 0.0000
Pt 0.0000 0.5000 0.3627
Pt 0.0000 0.5000 0.6373
Pt 0.5000 0.0000 0.0000
Pt 0.5000 0.0000 0.3627
Pt 0.5000 0.0000 0.6373
Pt 0.5000 0.5000 0.1796
Pt 0.5000 0.5000 0.8204


12.
The following is a PBE-GGA calculation of a relaxed BeCo2As crystal, from the Open Quantum Materials Database.

Output
Offset from the most stable computed form ... 0.000 eV/atom

Unit cell a=3.9640 b=3.9640 c=3.9640 alpha=60.00 beta=60.00 gamma=60.00
Fractional coordinates of all 4 atoms:
Be 0.0000 0.0000 0.0000
Co 0.5000 0.5000 0.5000
Co 0.7500 0.7500 0.7500
As 0.2500 0.2500 0.2500


13.
The following is a PBE-GGA calculation of a relaxed Gd2CuTe3 crystal, from the Open Quantum Materials Database.

Unit cell a=11.1943 b=4.1567 c=14.3107 alpha=90.00 beta=90.00 gamma=90.00
Fractional coordinates of all 24 atoms:
Gd 0.0178 0.2500 0.2462
Gd 0.2250 0.7500 0.5178
Gd 0.2750 0.2500 0.0178
Gd 0.4822 0.7500 0.7462
Gd 0.5178 0.2500 0.2538
Gd 0.7250 0.7500 0.9822
Gd 0.7750 0.2500 0.4822
Gd 0.9822 0.7500 0.7538
Cu 0.2361 0.2500 0.7219
Cu 0.2639 0.7500 0.2219
Cu 0.7361 0.2500 0.7781
Cu 0.7639 0.7500 0.2781
Te 0.0498 0.2500 0.6034
Te 0.0925 0.7500 0.0974
Te 0.2346 0.7500 0.8446
Te 0.2654 0.2500 0.3446
Te 0.4075 0.2500 0.5974
Te 0.4502 0.7500 0.1034
Te 0.5498 0.2500 0.8966
Te 0.5925 0.7500 0.4026
Te 0.7346 0.7500 0.6554
Te 0.7654 0.2500 0.1554
Te 0.9075 0.2500 0.9026
Te 0.9502 0.7500 0.3966


14.
The following is a PBE-GGA calculation of a relaxed NaGdCoTe3 crystal, from the Open Quantum Materials Database.

Output
Offset from the most stable computed form ... 0.024 eV/atom

Unit cell a=7.6517 b=7.6517 c=11.3381 alpha=90.00 beta=90.00 gamma=148.37
Fractional coordinates of all 12 atoms:
Na 0.2466 0.7534 0.7500
Na 0.7534 0.2466 0.2500
Gd 0.0000 0.0000 0.0000
Gd 0.0000 0.0000 0.5000
Co 0.4717 0.5283 0.2500
Co 0.5283 0.4717 0.7500
Te 0.0796 0.9204 0.2500
Te 0.3595 0.6405 0.0758
Te 0.3595 0.6405 0.4242
Te 0.6405 0.3595 0.5758
Te 0.6405 0.3595 0.9242
Te 0.9204 0.0796 0.7500


15.
The following is a PBE-GGA calculation of a relaxed Tb5CdAg4 crystal, from the Open Quantum Materials Database.

Output
Formation enthalpy at 0 K ... -328 meV/atom

Unit cell a=3.6675 b=3.6675 c=18.4510 alpha=90.00 beta=90.00 gamma=90.00
Fractional coordinates of all 10 atoms:
Tb 0.0000 0.0000 0.0000
Tb 0.0000 0.0000 0.1978
Tb 0.0000 0.0000 0.3950
Tb 0.0000 0.0000 0.6050
Tb 0.0000 0.0000 0.8022
Cd 0.5000 0.5000 0.5000
Ag 0.5000 0.5000 0.0985
Ag 0.5000 0.5000 0.2975
Ag 0.5000 0.5000 0.7025
Ag 0.5000 0.5000 0.9015


16.
The following is a PBE-GGA calculation of a relaxed BaTmOs crystal, from the Open Quantum Materials Database.

Output
Offset from the most stable computed form ... 0.000 eV/atom

Unit cell a=4.9691 b=4.9691 c=4.9691 alpha=60.00 beta=60.00 gamma=60.00
Fractional coordinates of all 3 atoms:
Ba 0.0000 0.0000 0.0000
Tm 0.5000 0.5000 0.5000
Os 0.2500 0.2500 0.2500


17.
The following is a PBE-GGA calculation of a relaxed NdHf2Si2 crystal, from the Open Quantum Materials Database.

Unit cell a=7.5026 b=7.5026 c=3.5578 alpha=90.00 beta=90.00 gamma=90.00
Fractional coordinates of all 10 atoms:
Nd 0.0000 0.0000 0.0000
Nd 0.5000 0.5000 0.0000
Hf 0.1709 0.3291 0.5000
Hf 0.3291 0.8291 0.5000
Hf 0.6709 0.1709 0.5000
Hf 0.8291 0.6709 0.5000
Si 0.1180 0.6180 0.0000
Si 0.3820 0.1180 0.0000
Si 0.6180 0.8820 0.0000
Si 0.8820 0.3820 0.0000


18.
The following is a PBE-GGA calculation of a relaxed PrNbPt crystal, from the Open Quantum Materials Database.

Output
Offset from the most stable computed form ... 0.744 eV/atom
Formation enthalpy at 0 K ... 792 meV/atom

Unit cell a=4.7461 b=4.7461 c=4.7461 alpha=60.00 beta=60.00 gamma=60.00
Fractional coordinates of all 3 atoms:
Pr 0.0000 0.0000 0.0000
Nb 0.7500 0.7500 0.7500
Pt 0.2500 0.2500 0.2500


19.
The following is a PBE-GGA calculation of a relaxed Zr2Cu3W4N3 crystal, from the Open Quantum Materials Database.

Unit cell a=5.3535 b=5.3535 c=13.2752 alpha=101.56 beta=101.56 gamma=60.30
Fractional coordinates of all 24 atoms:
Zr 0.0406 0.8721 0.6212
Zr 0.1279 0.9594 0.8788
Zr 0.8721 0.0406 0.1212
Zr 0.9594 0.1279 0.3788
Cu 0.0844 0.3978 0.7492
Cu 0.3978 0.0844 0.2492
Cu 0.4333 0.5667 0.2500
Cu 0.5667 0.4333 0.7500
Cu 0.6022 0.9156 0.7508
Cu 0.9156 0.6022 0.2508
W 0.1929 0.3656 0.0797
W 0.3129 0.4676 0.4201
W 0.3656 0.1929 0.5797
W 0.4676 0.3129 0.9201
W 0.5324 0.6871 0.0799
W 0.6344 0.8071 0.4203
W 0.6871 0.5324 0.5799
W 0.8071 0.6344 0.9203
N 0.0000 0.5000 0.5000
N 0.1485 0.7032 0.0000
N 0.2968 0.8515 0.5000
N 0.5000 0.0000 0.0000
N 0.7032 0.1485 0.5000
N 0.8515 0.2968 0.0000


20.
The following is a PBE-GGA calculation of a relaxed LuPuW crystal, from the Open Quantum Materials Database.

Output
Offset from the most stable computed form ... 0.000 eV/atom
Formation enthalpy at 0 K ... 704 meV/atom

Unit cell a=4.6705 b=4.6705 c=4.6705 alpha=60.00 beta=60.00 gamma=60.00
Fractional coordinates of all 3 atoms:
Lu 0.0000 0.0000 0.0000
Pu 0.5000 0.5000 0.5000
W 0.7500 0.7500 0.7500


How do the records compare in calculated total energy? In the order shown, they have -6.3007 -6.2884 -4.4025 -5.3040 -6.3434 -4.9566 -6.1598 -5.9465 -5.9285 -3.2771 -5.6785 -5.4762 -4.7763 -4.5092 -3.8624 -5.4435 -7.6535 -6.1827 -9.0218 -9.8331 eV/atom.